1.
Below is crystalline DyMgIn at its relaxed geometry, with properties calculated at the PBE-GGA level.

**E_tot**: -30.184 eV/cell

```
data_DyMgIn
_chemical_formula_sum 'Dy3 Mg3 In3'
_space_group_name_H-M_alt 'P -6 2 m'
_space_group_IT_number 189
_space_group_name_Hall 'P -6 -2'
_cell_length_a 7.4726
_cell_length_b 7.4726
_cell_length_c 4.6744
_cell_angle_alpha 90.00
_cell_angle_beta 90.00
_cell_angle_gamma 120.00
loop_
_atom_site_label
_atom_site_fract_x
_atom_site_fract_y
_atom_site_fract_z
Dy1 0.0000 0.5627 0.0000
Mg1 0.0000 0.2404 0.5000
In1 0.0000 0.0000 0.0000
In2 0.3333 0.6667 0.5000
```


2.
Below is crystalline DyMgIn2 at its relaxed geometry, with properties calculated at the PBE-GGA level.

**E_tot**: -13.247 eV/cell

```
data_DyMgIn2
_chemical_formula_sum 'Dy1 Mg1 In2'
_space_group_name_H-M_alt 'P 4/m m m'
_space_group_IT_number 123
_space_group_name_Hall '-P 4 2'
_cell_length_a 4.6230
_cell_length_b 4.6230
_cell_length_c 4.4921
_cell_angle_alpha 90.00
_cell_angle_beta 90.00
_cell_angle_gamma 90.00
loop_
_atom_site_label
_atom_site_fract_x
_atom_site_fract_y
_atom_site_fract_z
Dy1 0.0000 0.0000 0.0000
Mg1 0.5000 0.5000 0.0000
In1 0.0000 0.5000 0.5000
```


3.
Below is crystalline DyMgIn at its relaxed geometry, with properties calculated at the PBE-GGA level.

**E_tot**: -28.786 eV/cell

```
data_DyMgIn
_chemical_formula_sum 'Dy3 Mg3 In3'
_space_group_name_H-M_alt 'P -6 2 m'
_space_group_IT_number 189
_space_group_name_Hall 'P -6 -2'
_cell_length_a 7.5324
_cell_length_b 7.5324
_cell_length_c 4.6303
_cell_angle_alpha 90.00
_cell_angle_beta 90.00
_cell_angle_gamma 120.00
loop_
_atom_site_label
_atom_site_fract_x
_atom_site_fract_y
_atom_site_fract_z
Dy1 0.0000 0.5725 0.0000
Mg1 0.0000 0.0000 0.0000
Mg2 0.3333 0.6667 0.5000
In1 0.0000 0.2499 0.5000
```


4.
Below is crystalline NdDyMgIn at its relaxed geometry, with properties calculated at the PBE-GGA level.

**E_tot**: -59.817 eV/cell

```
data_NdDyMgIn
_chemical_formula_sum 'Nd4 Dy4 Mg4 In4'
_space_group_name_H-M_alt 'F -4 3 m'
_space_group_IT_number 216
_space_group_name_Hall 'F -4 2 3'
_cell_length_a 7.6220
_cell_length_b 7.6220
_cell_length_c 7.6220
_cell_angle_alpha 90.00
_cell_angle_beta 90.00
_cell_angle_gamma 90.00
loop_
_atom_site_label
_atom_site_fract_x
_atom_site_fract_y
_atom_site_fract_z
Nd1 0.0000 0.0000 0.0000
Dy1 0.0000 0.0000 0.5000
Mg1 0.2500 0.2500 0.7500
In1 0.2500 0.2500 0.2500
```


5.
Below is crystalline Nd2DyMg4In2 at its relaxed geometry, with properties calculated at the PBE-GGA level.

**E_tot**: -56.986 eV/cell

```
data_Nd2DyMg4In2
_chemical_formula_sum 'Nd4 Dy2 Mg8 In4'
_space_group_name_H-M_alt 'A m m 2'
_space_group_IT_number 38
_cell_length_a 4.7458
_cell_length_b 13.1762
_cell_length_c 7.7370
_cell_angle_alpha 90.00
_cell_angle_beta 90.00
_cell_angle_gamma 90.00
loop_
_space_group_symop_operation_xyz
'x,y,z'
'-x,-y,z'
'-x,y,z'
'x,-y,z'
'x,y+1/2,z+1/2'
'-x,-y+1/2,z+1/2'
'-x,y+1/2,z+1/2'
'x,-y+1/2,z+1/2'
loop_
_atom_site_label
_atom_site_fract_x
_atom_site_fract_y
_atom_site_fract_z
Nd1 0.0000 0.2146 0.0000
Dy1 0.0000 0.0000 0.3514
Mg1 0.0000 0.0000 0.7760
Mg2 0.5000 0.0000 0.0247
Mg3 0.5000 0.1219 0.6609
In1 0.5000 0.1638 0.2857
```


6.
Below is crystalline Nd2DyMg3In3 at its relaxed geometry, with properties calculated at the PBE-GGA level.

**E_tot**: -61.377 eV/cell

```
data_Nd2DyMg3In3
_chemical_formula_sum 'Nd4 Dy2 Mg6 In6'
_space_group_name_H-M_alt 'A m m 2'
_space_group_IT_number 38
_cell_length_a 4.7382
_cell_length_b 13.1337
_cell_length_c 7.6875
_cell_angle_alpha 90.00
_cell_angle_beta 90.00
_cell_angle_gamma 90.00
loop_
_space_group_symop_operation_xyz
'x,y,z'
'-x,-y,z'
'-x,y,z'
'x,-y,z'
'x,y+1/2,z+1/2'
'-x,-y+1/2,z+1/2'
'-x,y+1/2,z+1/2'
'x,-y+1/2,z+1/2'
loop_
_atom_site_label
_atom_site_fract_x
_atom_site_fract_y
_atom_site_fract_z
Nd1 0.0000 0.2163 0.0000
Dy1 0.0000 0.0000 0.6484
Mg1 0.5000 0.0000 0.9773
Mg2 0.5000 0.1206 0.3381
In1 0.0000 0.0000 0.2237
In2 0.5000 0.1636 0.7161
```


7.
Below is crystalline NdDy2Mg4In2 at its relaxed geometry, with properties calculated at the PBE-GGA level.

**E_tot**: -56.491 eV/cell

```
data_NdDy2Mg4In2
_chemical_formula_sum 'Nd2 Dy4 Mg8 In4'
_space_group_name_H-M_alt 'A m m 2'
_space_group_IT_number 38
_cell_length_a 4.7067
_cell_length_b 13.3090
_cell_length_c 7.5617
_cell_angle_alpha 90.00
_cell_angle_beta 90.00
_cell_angle_gamma 90.00
loop_
_space_group_symop_operation_xyz
'x,y,z'
'-x,-y,z'
'-x,y,z'
'x,-y,z'
'x,y+1/2,z+1/2'
'-x,-y+1/2,z+1/2'
'-x,y+1/2,z+1/2'
'x,-y+1/2,z+1/2'
loop_
_atom_site_label
_atom_site_fract_x
_atom_site_fract_y
_atom_site_fract_z
Nd1 0.0000 0.0000 0.0000
Dy1 0.0000 0.2175 0.6472
Mg1 0.0000 0.0000 0.4394
Mg2 0.5000 0.0000 0.6769
Mg3 0.5000 0.1214 0.3113
In1 0.5000 0.1693 0.9293
```


8.
Below is crystalline Nd2DyMg3Tl2In at its relaxed geometry, with properties calculated at the PBE-GGA level.

**E_tot**: -59.109 eV/cell

```
data_Nd2DyMg3Tl2In
_chemical_formula_sum 'Nd4 Dy2 Mg6 Tl4 In2'
_space_group_name_H-M_alt 'A m m 2'
_space_group_IT_number 38
_cell_length_a 4.7356
_cell_length_b 13.1583
_cell_length_c 7.7111
_cell_angle_alpha 90.00
_cell_angle_beta 90.00
_cell_angle_gamma 90.00
loop_
_space_group_symop_operation_xyz
'x,y,z'
'-x,-y,z'
'-x,y,z'
'x,-y,z'
'x,y+1/2,z+1/2'
'-x,-y+1/2,z+1/2'
'-x,y+1/2,z+1/2'
'x,-y+1/2,z+1/2'
loop_
_atom_site_label
_atom_site_fract_x
_atom_site_fract_y
_atom_site_fract_z
Nd1 0.0000 0.2156 0.0000
Dy1 0.0000 0.0000 0.3542
Mg1 0.5000 0.0000 0.0212
Mg2 0.5000 0.1214 0.6629
Tl1 0.5000 0.1628 0.2846
In1 0.0000 0.0000 0.7752
```


9.
Below is crystalline NdDy2Mg3ZnIn2 at its relaxed geometry, with properties calculated at the PBE-GGA level.

**E_tot**: -57.327 eV/cell

```
data_NdDy2Mg3ZnIn2
_chemical_formula_sum 'Nd2 Dy4 Mg6 Zn2 In4'
_space_group_name_H-M_alt 'A m m 2'
_space_group_IT_number 38
_cell_length_a 4.6246
_cell_length_b 13.1244
_cell_length_c 7.4591
_cell_angle_alpha 90.00
_cell_angle_beta 90.00
_cell_angle_gamma 90.00
loop_
_space_group_symop_operation_xyz
'x,y,z'
'-x,-y,z'
'-x,y,z'
'x,-y,z'
'x,y+1/2,z+1/2'
'-x,-y+1/2,z+1/2'
'-x,y+1/2,z+1/2'
'x,-y+1/2,z+1/2'
loop_
_atom_site_label
_atom_site_fract_x
_atom_site_fract_y
_atom_site_fract_z
Nd1 0.0000 0.0000 0.0000
Dy1 0.0000 0.2063 0.6179
Mg1 0.5000 0.0000 0.6509
Mg2 0.5000 0.1177 0.2969
Zn1 0.0000 0.0000 0.4219
In1 0.5000 0.1695 0.9113
```


10.
Below is crystalline DyMgIn4Ni2 at its relaxed geometry, with properties calculated at the PBE-GGA level.

**E_tot**: -61.266 eV/cell

```
data_DyMgIn4Ni2
_chemical_formula_sum 'Dy2 Mg2 In8 Ni4'
_space_group_name_H-M_alt 'A m m 2'
_space_group_IT_number 38
_cell_length_a 7.5147
_cell_length_b 4.2519
_cell_length_c 10.1387
_cell_angle_alpha 90.00
_cell_angle_beta 90.00
_cell_angle_gamma 90.00
loop_
_space_group_symop_operation_xyz
'x,y,z'
'-x,-y,z'
'-x,y,z'
'x,-y,z'
'x,y+1/2,z+1/2'
'-x,-y+1/2,z+1/2'
'-x,y+1/2,z+1/2'
'x,-y+1/2,z+1/2'
loop_
_atom_site_label
_atom_site_fract_x
_atom_site_fract_y
_atom_site_fract_z
Dy1 0.0000 0.0000 0.0000
Mg1 0.5000 0.0000 0.8749
In1 0.2059 0.0000 0.2916
In2 0.3043 0.0000 0.5811
Ni1 0.0000 0.0000 0.7149
Ni2 0.5000 0.0000 0.1476
```


11.
Below is crystalline Dy2MgInPd4 at its relaxed geometry, with properties calculated at the PBE-GGA level.

**E_tot**: -40.719 eV/cell

```
data_Dy2MgInPd4
_chemical_formula_sum 'Dy2 Mg1 In1 Pd4'
_space_group_name_H-M_alt 'P 4/m m m'
_space_group_IT_number 123
_space_group_name_Hall '-P 4 2'
_cell_length_a 4.7778
_cell_length_b 4.7778
_cell_length_c 6.7405
_cell_angle_alpha 90.00
_cell_angle_beta 90.00
_cell_angle_gamma 90.00
loop_
_atom_site_label
_atom_site_fract_x
_atom_site_fract_y
_atom_site_fract_z
Dy1 0.0000 0.0000 0.0000
Dy2 0.5000 0.5000 0.5000
Mg1 0.0000 0.0000 0.5000
In1 0.5000 0.5000 0.0000
Pd1 0.0000 0.5000 0.2537
```


12.
Below is crystalline DyMgInPd at its relaxed geometry, with properties calculated at the PBE-GGA level.

**E_tot**: -64.005 eV/cell

```
data_DyMgInPd
_chemical_formula_sum 'Dy4 Mg4 In4 Pd4'
_space_group_name_H-M_alt 'C 1 2/m 1'
_space_group_IT_number 12
_cell_length_a 10.5868
_cell_length_b 5.1570
_cell_length_c 8.2073
_cell_angle_alpha 90.00
_cell_angle_beta 126.50
_cell_angle_gamma 90.00
loop_
_space_group_symop_operation_xyz
'x,y,z'
'-x,-y,-z'
'-x,y,-z'
'x,-y,z'
'x+1/2,y+1/2,z'
'-x+1/2,-y+1/2,-z'
'-x+1/2,y+1/2,-z'
'x+1/2,-y+1/2,z'
loop_
_atom_site_label
_atom_site_fract_x
_atom_site_fract_y
_atom_site_fract_z
Dy1 0.0393 0.0000 0.2861
Mg1 0.1956 0.5000 0.8441
In1 0.1773 0.5000 0.1873
Pd1 0.1197 0.5000 0.4736
```


Copy entry 4 word for word.
Below is crystalline NdDyMgIn at its relaxed geometry, with properties calculated at the PBE-GGA level.

**E_tot**: -59.817 eV/cell

```
data_NdDyMgIn
_chemical_formula_sum 'Nd4 Dy4 Mg4 In4'
_space_group_name_H-M_alt 'F -4 3 m'
_space_group_IT_number 216
_space_group_name_Hall 'F -4 2 3'
_cell_length_a 7.6220
_cell_length_b 7.6220
_cell_length_c 7.6220
_cell_angle_alpha 90.00
_cell_angle_beta 90.00
_cell_angle_gamma 90.00
loop_
_atom_site_label
_atom_site_fract_x
_atom_site_fract_y
_atom_site_fract_z
Nd1 0.0000 0.0000 0.0000
Dy1 0.0000 0.0000 0.5000
Mg1 0.2500 0.2500 0.7500
In1 0.2500 0.2500 0.2500
```


Question: Which value of E_tot does entry 1 give?
Answer: -30.184 eV/cell